[1]
First-principles (PBE) data for a geometry-optimized SiSe2 structure, as listed in the Alexandria database.

Cell lengths 9.245, 9.245, 5.216 Å; angles 90.00, 90.00, 158.47 degrees
Fractional coordinates of all 6 atoms:
Si 0.186 0.814 0.750
Si 0.814 0.186 0.250
Se 0.214 0.786 0.250
Se 0.402 0.598 0.250
Se 0.598 0.402 0.750
Se 0.786 0.214 0.750

## Properties
The total magnetization is 0.00 μB/cell. Its raw total energy is -4.302 eV per atom. The symmetry is Cmcm, No. 63.



[2]
First-principles (PBE) data for a geometry-optimized SiSe3 structure, as listed in the Alexandria database.

Cell lengths 3.551, 3.612, 8.149 Å; angles 90.00, 90.00, 90.00 degrees
Fractional coordinates of all 4 atoms:
Si 0.000 0.000 0.000
Se 0.000 0.500 0.388
Se 0.500 0.000 0.294
Se 0.500 0.500 0.891

## Properties
The total magnetization is 0.00 μB/cell. Its raw total energy is -3.748 eV per atom. The symmetry is Pmm2, No. 25.



In order of appearance, energy relative to the elements, uncorrected = -0.17; 0.22 eV per atom.